# 1
Entry from the Alexandria database: a geometry-optimized CeNpTe2O structure (GGA-PBE).

a b c (Å): 4.2536 4.2536 14.9576
angles (deg): 90.00 90.00 90.00
Closest atoms and distances in Å follow each position.
Fractional positions:
Ce (0.5000, 0.0000, 0.5741)  4 O 2.40
Ce (0.0000, 0.5000, 0.4259)  4 O 2.40
Np (0.5000, 0.0000, 0.1080)  6 Te 3.01-3.17
Np (0.0000, 0.5000, 0.8920)  6 Te 3.01-3.17
Te (0.0000, 0.5000, 0.6885)  1 Np 3.04
Te (0.0000, 0.5000, 0.1038)  5 Np 3.01-3.17
Te (0.5000, 0.0000, 0.8962)  5 Np 3.01-3.17
Te (0.5000, 0.0000, 0.3115)  1 Np 3.04
O (0.0000, 0.0000, 0.5000)  4 Ce 2.40
O (0.5000, 0.5000, 0.5000)  4 Ce 2.40

Values from the calculation:
* N(E_F): 15.76 states/eV/f.u.
* calculated volume: 135.3 Å³/f.u.
* energy: -7.722 eV per atom



# 2
Entry from the Alexandria database: a geometry-optimized Ba2Sc structure (GGA-PBE).

a b c (Å): 6.3773 6.3773 7.7435
angles (deg): 90.00 90.00 120.00
Closest atoms and distances in Å follow each position.
Fractional positions:
Ba (0.0000, 0.0000, 0.0000)  8 Ba 3.87-4.16, 6 Sc 4.16
Ba (0.0000, 0.0000, 0.5000)  8 Ba 3.87-4.16, 6 Sc 4.16
Ba (0.3333, 0.6667, 0.7500)  5 Sc 3.68-3.87
Ba (0.6667, 0.3333, 0.2500)  5 Sc 3.68-3.87
Sc (0.3333, 0.6667, 0.2500)  5 Ba 3.68-3.87
Sc (0.6667, 0.3333, 0.7500)  5 Ba 3.68-3.87

Values from the calculation:
* N(E_F): 5.77 states/eV/f.u.
* energy of formation from the pure elements: 0.389 eV per atom
* calculated volume: 136.4 Å³/f.u.
* E above lowest polymorph: 0.142 eV per atom
* energy: -3.003 eV per atom



Copy entry 2 word for word.
Entry from the Alexandria database: a geometry-optimized Ba2Sc structure (GGA-PBE).

a b c (Å): 6.3773 6.3773 7.7435
angles (deg): 90.00 90.00 120.00
Closest atoms and distances in Å follow each position.
Fractional positions:
Ba (0.0000, 0.0000, 0.0000)  8 Ba 3.87-4.16, 6 Sc 4.16
Ba (0.0000, 0.0000, 0.5000)  8 Ba 3.87-4.16, 6 Sc 4.16
Ba (0.3333, 0.6667, 0.7500)  5 Sc 3.68-3.87
Ba (0.6667, 0.3333, 0.2500)  5 Sc 3.68-3.87
Sc (0.3333, 0.6667, 0.2500)  5 Ba 3.68-3.87
Sc (0.6667, 0.3333, 0.7500)  5 Ba 3.68-3.87

Values from the calculation:
* N(E_F): 5.77 states/eV/f.u.
* energy of formation from the pure elements: 0.389 eV per atom
* calculated volume: 136.4 Å³/f.u.
* E above lowest polymorph: 0.142 eV per atom
* energy: -3.003 eV per atom